(1)
Here is Zr3CuAs2 after structural relaxation from Alexandria. Energies are from PBE-GGA.

Crystal system = orthorhombic
E_form = -78.5 kJ/mol of atoms
DFT total energy = -7.32 eV per atom

Cell lengths 10.934, 3.855, 10.516 Å; angles 90.00, 90.00, 90.00 degrees
Fractional positions:
1 Zr 0.047 0.250 0.120
2 Zr 0.123 0.750 0.569
3 Zr 0.210 0.250 0.790
4 Zr 0.290 0.750 0.290
5 Zr 0.377 0.250 0.069
6 Zr 0.453 0.750 0.620
7 Zr 0.547 0.250 0.380
8 Zr 0.623 0.750 0.931
9 Zr 0.710 0.250 0.710
10 Zr 0.790 0.750 0.210
11 Zr 0.877 0.250 0.431
12 Zr 0.953 0.750 0.880
13 Cu 0.129 0.250 0.378
14 Cu 0.371 0.750 0.878
15 Cu 0.629 0.250 0.122
16 Cu 0.871 0.750 0.622
17 As 0.022 0.750 0.311
18 As 0.190 0.750 0.004
19 As 0.310 0.250 0.504
20 As 0.478 0.250 0.811
21 As 0.522 0.750 0.189
22 As 0.690 0.750 0.496
23 As 0.810 0.250 0.996
24 As 0.978 0.250 0.689


(2)
Here is ZrCu2As after structural relaxation from Alexandria. Energies are from PBE-GGA.

Crystal system = monoclinic
E_form = -10.1 kJ/mol of atoms
DFT total energy = -5.45 eV per atom

Cell lengths 5.636, 5.636, 2.845 Å; angles 103.76, 103.76, 122.86 degrees
Fractional positions:
1 Zr 0.000 0.000 0.000
2 Cu 0.000 0.500 0.500
3 Cu 0.500 0.000 0.500
4 As 0.500 0.500 0.000


(3)
Here is ZrCu2As after structural relaxation from Alexandria. Energies are from PBE-GGA.

Crystal system = tetragonal
E_form = -14.2 kJ/mol of atoms
DFT total energy = -5.49 eV per atom

Cell lengths 3.196, 3.196, 6.237 Å; angles 90.00, 90.00, 90.00 degrees
Fractional positions:
1 Zr 0.000 0.000 0.000
2 Cu 0.000 0.000 0.521
3 Cu 0.500 0.500 0.712
4 As 0.500 0.500 0.293


(4)
Here is Zr2CuAs2 after structural relaxation from Alexandria. Energies are from PBE-GGA.

Crystal system = tetragonal
E_form = -55.3 kJ/mol of atoms
DFT total energy = -6.67 eV per atom

Cell lengths 7.343, 7.343, 3.604 Å; angles 90.00, 90.00, 90.00 degrees
Fractional positions:
1 Zr 0.152 0.348 0.000
2 Zr 0.348 0.848 0.000
3 Zr 0.652 0.152 0.000
4 Zr 0.848 0.652 0.000
5 Cu 0.000 0.000 0.000
6 Cu 0.500 0.500 0.000
7 As 0.150 0.650 0.500
8 As 0.350 0.150 0.500
9 As 0.650 0.850 0.500
10 As 0.850 0.350 0.500


(5)
Here is ZrCu2As after structural relaxation from Alexandria. Energies are from PBE-GGA.

Crystal system = orthorhombic
E_form = -16.3 kJ/mol of atoms
DFT total energy = -5.52 eV per atom

Cell lengths 3.269, 3.269, 6.121 Å; angles 90.00, 90.00, 98.59 degrees
Fractional positions:
1 Zr 0.000 0.000 0.000
2 Cu 0.000 0.000 0.511
3 Cu 0.500 0.500 0.707
4 As 0.500 0.500 0.278


(6)
Here is ZrCu2As after structural relaxation from Alexandria. Energies are from PBE-GGA.

Crystal system = monoclinic
E_form = -22.5 kJ/mol of atoms
DFT total energy = -5.58 eV per atom

Cell lengths 3.035, 4.306, 4.984 Å; angles 90.00, 93.00, 90.00 degrees
Fractional positions:
1 Zr 0.000 0.000 0.000
2 Cu 0.489 0.500 0.757
3 Cu 0.511 0.500 0.243
4 As 0.500 0.000 0.500


(7)
Here is ZrCu3As after structural relaxation from Alexandria. Energies are from PBE-GGA.

Crystal system = cubic
E_form = 137.3 kJ/mol of atoms
DFT total energy = -3.67 eV per atom

Cell lengths 4.843, 4.843, 4.843 Å; angles 90.00, 90.00, 90.00 degrees
Fractional positions:
1 Zr 0.000 0.000 0.000
2 Cu 0.000 0.000 0.500
3 Cu 0.000 0.500 0.000
4 Cu 0.500 0.000 0.000
5 As 0.500 0.500 0.500


(8)
Here is Zr4CuAs after structural relaxation from Alexandria. Energies are from PBE-GGA.

Crystal system = cubic
E_form = 42.0 kJ/mol of atoms
DFT total energy = -6.72 eV per atom

Cell lengths 5.665, 5.665, 5.665 Å; angles 60.00, 60.00, 60.00 degrees
Fractional positions:
1 Zr 0.125 0.125 0.125
2 Zr 0.125 0.125 0.624
3 Zr 0.125 0.624 0.125
4 Zr 0.624 0.125 0.125
5 Cu 0.500 0.500 0.500
6 As 0.750 0.750 0.750


(9)
Here is Zr3CuAs after structural relaxation from Alexandria. Energies are from PBE-GGA.

Crystal system = cubic
E_form = 25.3 kJ/mol of atoms
DFT total energy = -6.62 eV per atom

Cell lengths 4.979, 4.979, 4.979 Å; angles 90.00, 90.00, 90.00 degrees
Fractional positions:
1 Zr 0.000 0.000 0.500
2 Zr 0.000 0.500 0.000
3 Zr 0.500 0.000 0.000
4 Cu 0.500 0.500 0.500
5 As 0.000 0.000 0.000


(10)
Here is ZrCu2As after structural relaxation from Alexandria. Energies are from PBE-GGA.

Crystal system = monoclinic
E_form = -27.9 kJ/mol of atoms
DFT total energy = -5.64 eV per atom

Cell lengths 4.012, 4.012, 5.186 Å; angles 112.91, 112.91, 60.21 degrees
Fractional positions:
1 Zr 0.000 0.000 0.000
2 Cu 0.229 0.229 0.689
3 Cu 0.504 0.504 0.511
4 As 0.785 0.785 0.354


(11)
Here is Dy3As after structural relaxation from Alexandria. Energies are from PBE-GGA.

Crystal system = orthorhombic
E_form = -53.6 kJ/mol of atoms
DFT total energy = -5.17 eV per atom

Cell lengths 6.459, 6.459, 6.459 Å; angles 146.08, 133.37, 58.90 degrees
Fractional positions:
1 Dy 0.000 0.000 0.000
2 Dy 0.296 0.796 0.500
3 Dy 0.704 0.204 0.500
4 As 0.500 0.500 0.000


(12)
Here is DyAs after structural relaxation from Alexandria. Energies are from PBE-GGA.

Crystal system = cubic
E_form = -148.3 kJ/mol of atoms
DFT total energy = -6.16 eV per atom

Cell lengths 4.118, 4.118, 4.118 Å; angles 60.00, 60.00, 60.00 degrees
Fractional positions:
1 Dy 0.000 0.000 0.000
2 As 0.500 0.500 0.500


(13)
Here is Dy3As after structural relaxation from Alexandria. Energies are from PBE-GGA.

Crystal system = tetragonal
E_form = -42.2 kJ/mol of atoms
DFT total energy = -5.05 eV per atom

Cell lengths 3.972, 3.972, 7.608 Å; angles 90.00, 90.00, 90.00 degrees
Fractional positions:
1 Dy 0.000 0.000 0.000
2 Dy 0.000 0.500 0.643
3 Dy 0.500 0.000 0.357
4 As 0.500 0.500 0.000


(14)
Here is Dy6As5 after structural relaxation from Alexandria. Energies are from PBE-GGA.

Crystal system = monoclinic
E_form = -132.5 kJ/mol of atoms
DFT total energy = -6.00 eV per atom

Cell lengths 7.069, 7.069, 7.090 Å; angles 99.59, 99.59, 119.92 degrees
Fractional positions:
1 Dy 0.078 0.416 0.749
2 Dy 0.246 0.246 0.255
3 Dy 0.416 0.078 0.749
4 Dy 0.584 0.922 0.251
5 Dy 0.754 0.754 0.745
6 Dy 0.922 0.584 0.251
7 As 0.000 0.000 0.500
8 As 0.166 0.834 0.000
9 As 0.333 0.667 0.500
10 As 0.667 0.333 0.500
11 As 0.834 0.166 0.000


(15)
Here is Dy4As after structural relaxation from Alexandria. Energies are from PBE-GGA.

Crystal system = cubic
E_form = -26.6 kJ/mol of atoms
DFT total energy = -4.89 eV per atom

Cell lengths 5.479, 5.479, 5.479 Å; angles 90.00, 90.00, 90.00 degrees
Fractional positions:
1 Dy 0.000 0.000 0.000
2 Dy 0.000 0.500 0.500
3 Dy 0.500 0.000 0.500
4 Dy 0.500 0.500 0.000
5 As 0.500 0.500 0.500


(16)
Here is Dy3As after structural relaxation from Alexandria. Energies are from PBE-GGA.

Crystal system = tetragonal
E_form = -38.9 kJ/mol of atoms
DFT total energy = -5.02 eV per atom

Cell lengths 6.057, 6.057, 6.057 Å; angles 136.62, 136.62, 63.02 degrees
Fractional positions:
1 Dy 0.000 0.000 0.000
2 Dy 0.250 0.750 0.500
3 Dy 0.750 0.250 0.500
4 As 0.500 0.500 0.000


(17)
Here is Dy4ErAs5 after structural relaxation from Alexandria. Energies are from PBE-GGA.

Crystal system = tetragonal
E_form = -148.0 kJ/mol of atoms
DFT total energy = -6.16 eV per atom

Cell lengths 7.122, 7.122, 7.122 Å; angles 99.59, 99.59, 131.82 degrees
Fractional positions:
1 Dy 0.100 0.700 0.800
2 Dy 0.300 0.100 0.400
3 Dy 0.700 0.900 0.600
4 Dy 0.900 0.300 0.200
5 Er 0.500 0.500 0.000
6 As 0.000 0.000 0.000
7 As 0.201 0.400 0.602
8 As 0.400 0.799 0.199
9 As 0.600 0.201 0.801
10 As 0.799 0.600 0.398


(18)
Here is Dy5ErAs6 after structural relaxation from Alexandria. Energies are from PBE-GGA.

Crystal system = monoclinic
E_form = -148.0 kJ/mol of atoms
DFT total energy = -6.16 eV per atom

Cell lengths 7.124, 7.124, 7.123 Å; angles 99.60, 99.60, 119.98 degrees
Fractional positions:
1 Dy 0.000 0.000 0.000
2 Dy 0.167 0.833 0.500
3 Dy 0.333 0.667 0.000
4 Dy 0.667 0.333 0.000
5 Dy 0.833 0.167 0.500
6 Er 0.500 0.500 0.500
7 As 0.085 0.417 0.251
8 As 0.251 0.251 0.749
9 As 0.417 0.085 0.251
10 As 0.583 0.915 0.749
11 As 0.749 0.749 0.251
12 As 0.915 0.583 0.749


(19)
Here is DyErAs after structural relaxation from Alexandria. Energies are from PBE-GGA.

Crystal system = tetragonal
E_form = -70.6 kJ/mol of atoms
DFT total energy = -5.34 eV per atom

Cell lengths 6.284, 6.284, 6.284 Å; angles 146.14, 146.14, 48.63 degrees
Fractional positions:
1 Dy 0.000 0.000 0.000
2 Er 0.718 0.718 0.000
3 As 0.356 0.356 0.000


(20)
Here is Dy3Er5As8 after structural relaxation from Alexandria. Energies are from PBE-GGA.

Crystal system = trigonal
E_form = -147.2 kJ/mol of atoms
DFT total energy = -6.14 eV per atom

Cell lengths 8.190, 8.190, 8.190 Å; angles 60.00, 60.00, 60.00 degrees
Fractional positions:
1 Dy 0.000 0.500 0.500
2 Dy 0.500 0.000 0.500
3 Dy 0.500 0.500 0.000
4 Er 0.000 0.000 0.000
5 Er 0.000 0.000 0.500
6 Er 0.000 0.500 0.000
7 Er 0.500 0.000 0.000
8 Er 0.500 0.500 0.500
9 As 0.248 0.750 0.750
10 As 0.249 0.249 0.249
11 As 0.250 0.250 0.752
12 As 0.250 0.752 0.250
13 As 0.750 0.248 0.750
14 As 0.750 0.750 0.248
15 As 0.751 0.751 0.751
16 As 0.752 0.250 0.250